# 1
! GGA-PBE MgZn2Se3, relaxed; values from VASP
! space group: No. 166
! N(E_F): 6.47 states/eV/cell
! total moment: 0.001 μB per formula unit
! excess energy over the best structure of this formula in the dataset: 0.7020 eV/atom
&SYSTEM
  ibrav = 0, nat = 6, ntyp = 3
/
ATOMIC_SPECIES
Mg 24.30 Mg.upf
Zn 65.41 Zn.upf
Se 78.96 Se.upf
ATOMIC_POSITIONS crystal
Mg 0.500 0.500 0.500
Zn 0.855 0.855 0.855
Zn 0.145 0.145 0.145
Se 0.500 0.000 0.500
Se 0.500 0.500 0.000
Se 0.000 0.500 0.500
CELL_PARAMETERS angstrom
-2.210 3.171 -3.517
-2.007 -4.317 -2.156
-3.930 0.513 3.407


# 2
! GGA-PBE Mg2Zn7Se3, relaxed; values from VASP
! space group: No. 166
! N(E_F): 5.31 states/eV/cell
! total moment: 0.000 μB per formula unit
&SYSTEM
  ibrav = 0, nat = 12, ntyp = 3
/
ATOMIC_SPECIES
Zn 65.41 Zn.upf
Mg 24.30 Mg.upf
Se 78.96 Se.upf
ATOMIC_POSITIONS crystal
Zn 0.500 0.500 0.500
Zn 0.413 0.413 0.913
Zn 0.413 0.913 0.413
Zn 0.913 0.413 0.413
Zn 0.587 0.587 0.087
Zn 0.087 0.587 0.587
Zn 0.587 0.087 0.587
Mg 0.665 0.665 0.665
Mg 0.335 0.335 0.335
Se 0.000 0.000 0.000
Se 0.877 0.877 0.877
Se 0.123 0.123 0.123
CELL_PARAMETERS angstrom
-8.315 -6.127 -3.180
-8.453 -6.452 1.930
-10.526 -2.410 -0.436


# 3
! GGA-PBE MgZn2Se, relaxed; values from VASP
! space group: No. 8
! N(E_F): 1.38 states/eV/cell
! total moment: 0.000 μB per formula unit
&SYSTEM
  ibrav = 0, nat = 4, ntyp = 3
/
ATOMIC_SPECIES
Mg 24.30 Mg.upf
Se 78.96 Se.upf
Zn 65.41 Zn.upf
ATOMIC_POSITIONS crystal
Mg 0.472 0.472 0.494
Se 0.147 0.147 0.320
Zn 0.094 0.094 0.892
Zn 0.787 0.787 0.795
CELL_PARAMETERS angstrom
4.449 0.052 0.011
2.792 3.465 0.011
-0.838 -0.407 5.858


# 4
! GGA-PBE MgZnSe, relaxed; values from VASP
! space group: No. 38
! N(E_F): 0.84 states/eV/cell
! total moment: 0.000 μB per formula unit
! excess energy over the best structure of this formula in the dataset: 0.3102 eV/atom
&SYSTEM
  ibrav = 0, nat = 3, ntyp = 3
/
ATOMIC_SPECIES
Mg 24.30 Mg.upf
Se 78.96 Se.upf
Zn 65.41 Zn.upf
ATOMIC_POSITIONS crystal
Mg 0.011 0.989 0.000
Se 0.293 0.707 0.500
Zn 0.696 0.304 0.500
CELL_PARAMETERS angstrom
-1.643 -3.706 0.948
1.971 -1.117 -3.493
3.169 -0.876 2.068


# 5
! GGA-PBE MgZn2Se4, relaxed; values from VASP
! space group: No. 140
! total moment: 0.000 μB per formula unit
! excess energy over the best structure of this formula in the dataset: 0.0000 eV/atom
&SYSTEM
  ibrav = 0, nat = 14, ntyp = 3
/
ATOMIC_SPECIES
Zn 65.41 Zn.upf
Mg 24.30 Mg.upf
Se 78.96 Se.upf
ATOMIC_POSITIONS crystal
Zn 0.627 0.127 0.754
Zn 0.373 0.873 0.246
Zn 0.873 0.627 0.500
Zn 0.127 0.373 0.500
Mg 0.750 0.750 0.000
Mg 0.250 0.250 0.000
Se 0.048 0.548 0.882
Se 0.667 0.167 0.118
Se 0.167 0.048 0.500
Se 0.548 0.667 0.500
Se 0.452 0.333 0.500
Se 0.833 0.952 0.500
Se 0.333 0.833 0.882
Se 0.952 0.452 0.118
CELL_PARAMETERS angstrom
7.717 -0.009 0.000
0.808 7.675 0.000
-4.262 -3.833 5.166


# 6
! GGA-PBE Mg2Zn3Se, relaxed; values from VASP
! space group: No. 194
! N(E_F): 3.32 states/eV/cell
! total moment: 0.000 μB per formula unit
! excess energy over the best structure of this formula in the dataset: 0.2040 eV/atom
&SYSTEM
  ibrav = 0, nat = 12, ntyp = 3
/
ATOMIC_SPECIES
Zn 65.41 Zn.upf
Mg 24.30 Mg.upf
Se 78.96 Se.upf
ATOMIC_POSITIONS crystal
Zn 0.667 0.834 0.250
Zn 0.166 0.834 0.250
Zn 0.166 0.333 0.250
Zn 0.333 0.166 0.750
Zn 0.834 0.166 0.750
Zn 0.834 0.667 0.750
Mg 0.667 0.333 0.111
Mg 0.333 0.667 0.611
Mg 0.333 0.667 0.889
Mg 0.667 0.333 0.389
Se 0.000 0.000 0.000
Se 0.000 0.000 0.500
CELL_PARAMETERS angstrom
4.889 0.000 0.000
-2.445 4.234 0.000
0.000 0.000 12.087


| no. | formation energy without anion corrections (eV/f.u.) |
| --- | --- |
| 1 | -1.100 |
| 2 | -0.472 |
| 3 | -1.199 |
| 4 | -0.898 |
| 5 | -2.669 |
| 6 | -0.635 |